[1]
The following is a PBE calculation of a relaxed Rb2BePdCl6 crystal, from Alexandria.

```
Rb2BePdCl6
1.0
-3.4313 3.4313 5.2772
3.4313 -3.4313 5.2772
3.4313 3.4313 -5.2772
Rb Be Pd Cl
2 1 1 6
Direct
0.2500 0.7500 0.5000
0.7500 0.2500 0.5000
0.0000 0.0000 0.0000
0.5000 0.5000 0.0000
0.2243 0.2243 0.4487
0.2243 0.7757 0.0000
0.2771 0.2771 0.0000
0.7229 0.7229 0.0000
0.7757 0.2243 0.0000
0.7757 0.7757 0.5513
```

## Properties
Its total DFT energy (no corrections) is -3.36 eV per atom. The calculation puts the uncorrected formation energy at -113 kJ/mol of atoms. The value obtained for the density of states at the Fermi level is 2.10 states/eV per cell.

---

[2]
The following is a PBE calculation of a relaxed TbCe2Hf crystal, from Alexandria.

```
TbCe2Hf
1.0
1.6001 0.9238 12.0706
-1.6001 0.9238 12.0706
0.0000 -1.8476 12.0706
Tb Ce Hf
1 2 1
Direct
0.0000 0.0000 0.0000
0.4190 0.4190 0.4190
0.5810 0.5810 0.5810
0.5000 0.5000 0.5000
```

## Properties
Its total DFT energy (no corrections) is -6.30 eV per atom. The energy of formation from the pure elements is 0.314 eV per atom. The value obtained for the density of states at the Fermi level is 10.46 states/eV per cell.

---

[3]
The following is a PBE calculation of a relaxed RbBa2InI8 crystal, from Alexandria.

```
RbBa2InI8
1.0
7.6255 0.0000 0.0000
-0.0412 7.7491 0.0000
-0.0064 -0.0050 10.5104
Rb Ba In I
1 2 1 8
Direct
0.0000 0.0000 0.0000
0.4994 0.4998 0.7398
0.5006 0.5002 0.2602
0.0000 0.0000 0.5000
0.2254 0.3306 0.4995
0.2262 0.8617 0.2976
0.2271 0.8628 0.7025
0.2498 0.3954 0.0002
0.7502 0.6046 0.9998
0.7729 0.1372 0.2975
0.7738 0.1383 0.7024
0.7746 0.6694 0.5005
```

## Properties
Its total DFT energy (no corrections) is -2.90 eV per atom. The calculation puts the uncorrected formation energy at -119 kJ/mol of atoms.

---

[4]
The following is a PBE calculation of a relaxed Zr2Tc crystal, from Alexandria.

```
Zr2Tc
1.0
5.5762 0.0000 0.0000
-2.7881 4.8291 0.0000
0.0000 0.0000 8.8142
Zr Tc
8 4
Direct
0.0000 0.0000 0.0000
0.0000 0.0000 0.5000
0.1753 0.3505 0.2500
0.1753 0.8247 0.2500
0.3505 0.1753 0.7500
0.6495 0.8247 0.2500
0.8247 0.1753 0.7500
0.8247 0.6495 0.7500
0.3333 0.6667 0.5533
0.3333 0.6667 0.9467
0.6667 0.3333 0.0533
0.6667 0.3333 0.4467
```

## Properties
Its total DFT energy (no corrections) is -8.54 eV per atom. The energy of formation from the pure elements is 0.614 eV per atom. The value obtained for the density of states at the Fermi level is 15.35 states/eV per cell.

---

[5]
The following is a PBE calculation of a relaxed KAg3Te crystal, from Alexandria.

```
KAg3Te
1.0
5.5614 0.0000 0.0000
0.0000 5.5614 0.0000
0.0000 0.0000 5.5614
K Ag Te
1 3 1
Direct
0.0000 0.0000 0.0000
0.0000 0.5000 0.5000
0.5000 0.0000 0.5000
0.5000 0.5000 0.0000
0.5000 0.5000 0.5000
```

## Properties
Its total DFT energy (no corrections) is -2.37 eV per atom. The calculation puts the uncorrected formation energy at 19 kJ/mol of atoms. The value obtained for the density of states at the Fermi level is 3.23 states/eV per cell.

---

[6]
The following is a PBE calculation of a relaxed NbZnPtRh crystal, from Alexandria.

```
NbZnPtRh
1.0
-2.0071 2.0071 3.7995
2.0071 -2.0071 3.7995
2.0071 2.0071 -3.7995
Nb Zn Pt Rh
1 1 1 1
Direct
0.0000 0.0000 0.0000
0.5000 0.5000 0.0000
0.7500 0.2500 0.5000
0.2500 0.7500 0.5000
```

## Properties
Its total DFT energy (no corrections) is -6.75 eV per atom. The energy of formation from the pure elements is -0.561 eV per atom. The value obtained for the density of states at the Fermi level is 2.17 states/eV per cell.

---

[7]
The following is a PBE calculation of a relaxed Np2Ge3AsIr4 crystal, from Alexandria.

```
Np2Ge3AsIr4
1.0
4.2522 0.0000 0.0000
0.0000 4.2522 0.0000
0.0000 0.0000 10.0845
Np Ge As Ir
2 3 1 4
Direct
0.0000 0.5000 0.2456
0.5000 0.0000 0.7544
0.0000 0.0000 0.0000
0.0000 0.5000 0.6329
0.5000 0.0000 0.3671
0.5000 0.5000 0.0000
0.0000 0.0000 0.5000
0.0000 0.5000 0.8737
0.5000 0.0000 0.1263
0.5000 0.5000 0.5000
```

## Properties
Its total DFT energy (no corrections) is -8.41 eV per atom. The energy of formation from the pure elements is -0.424 eV per atom. The value obtained for the density of states at the Fermi level is 20.23 states/eV per cell.